# 1
First-principles (PBE-GGA) data for a relaxed structure of Pa2ZnOs, as listed in the Alexandria database.

Energy relative to the elements (eV/atom): -0.137
Energy above the lowest structure with this stoichiometry (meV/atom): 0

CIF file:
```
data_Pa2ZnOs
_chemical_formula_sum 'Pa2 Zn1 Os1'
_space_group_name_H-M_alt 'P 4/m m m'
_space_group_IT_number 123
_space_group_name_Hall '-P 4 2'
_cell_length_a 4.394
_cell_length_b 4.394
_cell_length_c 4.137
_cell_angle_alpha 90.00
_cell_angle_beta 90.00
_cell_angle_gamma 90.00
loop_
_atom_site_label
_atom_site_fract_x
_atom_site_fract_y
_atom_site_fract_z
Pa1 0.000 0.500 0.000
Zn1 0.000 0.000 0.500
Os1 0.500 0.500 0.500
```

***

# 2
First-principles (PBE-GGA) data for a relaxed structure of KHI6, as listed in the Alexandria database.

Raw total energy (eV per atom): -2.03

CIF file:
```
data_KHI6
_chemical_formula_sum 'K1 H1 I6'
_space_group_name_H-M_alt 'P -1'
_space_group_IT_number 2
_space_group_name_Hall '-P 1'
_cell_length_a 6.486
_cell_length_b 6.817
_cell_length_c 9.626
_cell_angle_alpha 102.76
_cell_angle_beta 93.02
_cell_angle_gamma 116.36
loop_
_atom_site_label
_atom_site_fract_x
_atom_site_fract_y
_atom_site_fract_z
K1 0.000 0.000 0.000
H1 0.500 0.000 0.500
I1 0.128 0.259 0.677
I2 0.369 0.732 0.338
I3 0.385 0.771 0.901
```

***

# 3
First-principles (PBE-GGA) data for a relaxed structure of Nd2GaCu, as listed in the Alexandria database.

Energy relative to the elements (eV/atom): 0.239

CIF file:
```
data_Nd2GaCu
_chemical_formula_sum 'Nd6 Ga3 Cu3'
_space_group_name_H-M_alt 'R -3 m'
_space_group_IT_number 166
_space_group_name_Hall '-R 3 2"'
_cell_length_a 3.5833
_cell_length_b 3.5833
_cell_length_c 30.4861
_cell_angle_alpha 90.00
_cell_angle_beta 90.00
_cell_angle_gamma 120.00
loop_
_atom_site_label
_atom_site_fract_x
_atom_site_fract_y
_atom_site_fract_z
Nd1 0.0000 0.0000 0.0932
Ga1 0.0000 0.0000 0.5000
Cu1 0.0000 0.0000 0.0000
```

***

# 4
First-principles (PBE-GGA) data for a relaxed structure of TaHgAs2, as listed in the Alexandria database.

Energy relative to the elements (eV/atom): 0.218

CIF file:
```
data_TaHgAs2
_chemical_formula_sum 'Ta1 Hg1 As2'
_space_group_name_H-M_alt 'P 4 m m'
_space_group_IT_number 99
_space_group_name_Hall 'P 4 -2'
_cell_length_a 3.357
_cell_length_b 3.357
_cell_length_c 7.175
_cell_angle_alpha 90.00
_cell_angle_beta 90.00
_cell_angle_gamma 90.00
loop_
_atom_site_label
_atom_site_fract_x
_atom_site_fract_y
_atom_site_fract_z
Ta1 0.000 0.000 0.000
Hg1 0.500 0.500 0.720
As1 0.000 0.000 0.390
As2 0.500 0.500 0.157
```

***

# 5
First-principles (PBE-GGA) data for a relaxed structure of Li5Ag2, as listed in the Alexandria database.

Energy relative to the elements (eV/atom): -0.093
Energy above the lowest structure with this stoichiometry (meV/atom): 39

CIF file:
```
data_Li5Ag2
_chemical_formula_sum 'Li10 Ag4'
_space_group_name_H-M_alt 'C 1 2/m 1'
_space_group_IT_number 12
_space_group_name_Hall '-C 2y'
_cell_length_a 7.219
_cell_length_b 7.753
_cell_length_c 4.702
_cell_angle_alpha 90.00
_cell_angle_beta 94.75
_cell_angle_gamma 90.00
loop_
_atom_site_label
_atom_site_fract_x
_atom_site_fract_y
_atom_site_fract_z
Li1 0.000 0.000 0.000
Li2 0.153 0.306 0.731
Ag1 0.154 0.500 0.231
```

***

# 6
First-principles (PBE-GGA) data for a relaxed structure of TmPaTlIn, as listed in the Alexandria database.

Energy relative to the elements (eV/atom): 0.009

CIF file:
```
data_TmPaTlIn
_chemical_formula_sum 'Tm4 Pa4 Tl4 In4'
_space_group_name_H-M_alt 'F -4 3 m'
_space_group_IT_number 216
_space_group_name_Hall 'F -4 2 3'
_cell_length_a 7.532
_cell_length_b 7.532
_cell_length_c 7.532
_cell_angle_alpha 90.00
_cell_angle_beta 90.00
_cell_angle_gamma 90.00
loop_
_atom_site_label
_atom_site_fract_x
_atom_site_fract_y
_atom_site_fract_z
Tm1 0.000 0.000 0.000
Pa1 0.000 0.000 0.500
Tl1 0.250 0.250 0.750
In1 0.250 0.250 0.250
```

***

Per-record N(E_F), states/eV per atom: 1.36 0.22 0.33 0.75 0.28 2.19